# Sc2Tc2Os PBE relaxed
data_Sc2Tc2Os
_chemical_formula_sum 'Sc4 Tc4 Os2'
_cell_length_a 3.676
_cell_length_b 3.676
_cell_length_c 12.131
_cell_angle_alpha 90.00
_cell_angle_beta 90.00
_cell_angle_gamma 90.00
_space_group_name_H-M_alt 'I 4/m m m'
_space_group_IT_number 139
_space_group_name_Hall '-I 4 2'
loop_
_atom_site_label
_atom_site_type_symbol
_atom_site_fract_x
_atom_site_fract_y
_atom_site_fract_z
_atom_site_occupancy
Sc1 Sc 0.000 0.000 0.096 1
Tc1 Tc 0.000 0.500 0.250 1
Os1 Os 0.000 0.000 0.500 1
# offset from the most stable computed form = 0.0 meV/atom

This record from OQMD describes crystalline Sc2TcOs3 at its relaxed geometry. The functional is PBE.

```
data_Sc2TcOs3
_chemical_formula_sum 'Sc2 Tc1 Os3'
_cell_length_a 3.192
_cell_length_b 3.192
_cell_length_c 9.191
_cell_angle_alpha 90.00
_cell_angle_beta 90.00
_cell_angle_gamma 90.00
_space_group_name_H-M_alt 'P 4 m m'
_space_group_IT_number 99
loop_
_space_group_symop_operation_xyz
'x,y,z'
'-y,x,z'
'-x,-y,z'
'y,-x,z'
'-x,y,z'
'y,x,z'
'x,-y,z'
'-y,-x,z'
loop_
_atom_site_label
_atom_site_type_symbol
_atom_site_fract_x
_atom_site_fract_y
_atom_site_fract_z
_atom_site_occupancy
Sc1 Sc 0.000 0.000 0.000 1
Sc2 Sc 0.500 0.500 0.500 1
Tc1 Tc 0.000 0.000 0.328 1
Os1 Os 0.000 0.000 0.670 1
Os2 Os 0.500 0.500 0.172 1
Os3 Os 0.500 0.500 0.831 1
```

# ScTcOs PBE relaxed
data_ScTcOs
_chemical_formula_sum 'Sc2 Tc2 Os2'
_cell_length_a 3.186
_cell_length_b 3.186
_cell_length_c 9.228
_cell_angle_alpha 90.00
_cell_angle_beta 90.00
_cell_angle_gamma 90.00
_space_group_name_H-M_alt 'I 4 m m'
_space_group_IT_number 107
_space_group_name_Hall 'I 4 -2'
loop_
_atom_site_label
_atom_site_type_symbol
_atom_site_fract_x
_atom_site_fract_y
_atom_site_fract_z
_atom_site_occupancy
Sc1 Sc 0.000 0.000 0.000 1
Tc1 Tc 0.000 0.000 0.327 1
Os1 Os 0.000 0.000 0.672 1
# offset from the most stable computed form = 0.0 meV/atom

# ScTcOs PBE relaxed
data_ScTcOs
_chemical_formula_sum 'Sc2 Tc2 Os2'
_cell_length_a 3.186
_cell_length_b 3.186
_cell_length_c 9.234
_cell_angle_alpha 90.00
_cell_angle_beta 90.00
_cell_angle_gamma 90.00
_space_group_name_H-M_alt 'P 4/m m m'
_space_group_IT_number 123
_space_group_name_Hall '-P 4 2'
loop_
_atom_site_label
_atom_site_type_symbol
_atom_site_fract_x
_atom_site_fract_y
_atom_site_fract_z
_atom_site_occupancy
Sc1 Sc 0.000 0.000 0.000 1
Sc2 Sc 0.500 0.500 0.500 1
Tc1 Tc 0.000 0.000 0.327 1
Os1 Os 0.500 0.500 0.171 1
# offset from the most stable computed form = 5.5 meV/atom

# ScTcOs PBE relaxed
data_ScTcOs
_chemical_formula_sum 'Sc4 Tc4 Os4'
_cell_length_a 6.027
_cell_length_b 6.027
_cell_length_c 6.027
_cell_angle_alpha 90.00
_cell_angle_beta 90.00
_cell_angle_gamma 90.00
_space_group_name_H-M_alt 'F -4 3 m'
_space_group_IT_number 216
_space_group_name_Hall 'F -4 2 3'
loop_
_atom_site_label
_atom_site_type_symbol
_atom_site_fract_x
_atom_site_fract_y
_atom_site_fract_z
_atom_site_occupancy
Sc1 Sc 0.000 0.000 0.000 1
Tc1 Tc 0.250 0.250 0.250 1
Os1 Os 0.250 0.250 0.750 1
# offset from the most stable computed form = 1211.3 meV/atom

# Sc2Tc2Os PBE relaxed
data_Sc2Tc2Os
_chemical_formula_sum 'Sc4 Tc4 Os2'
_cell_length_a 3.904
_cell_length_b 3.904
_cell_length_c 11.873
_cell_angle_alpha 90.00
_cell_angle_beta 90.00
_cell_angle_gamma 90.00
_space_group_name_H-M_alt 'I 4/m m m'
_space_group_IT_number 139
_space_group_name_Hall '-I 4 2'
loop_
_atom_site_label
_atom_site_type_symbol
_atom_site_fract_x
_atom_site_fract_y
_atom_site_fract_z
_atom_site_occupancy
Sc1 Sc 0.000 0.500 0.250 1
Tc1 Tc 0.000 0.000 0.094 1
Os1 Os 0.000 0.000 0.500 1
# offset from the most stable computed form = 197.6 meV/atom

| no. | total magnetization (μB per formula unit) | DFT formation energy (eV/atom) | uncorrected energy (eV per cell) |
| --- | --- | --- | --- |
| 1 | 0.30 | 0.8283 | -80.92 |
| 2 | 0.00 | 0.0117 | -56.62 |
| 3 | 0.00 | -0.0813 | -56.32 |
| 4 | 0.00 | -0.0758 | -56.28 |
| 5 | 0.70 | 1.1299 | -98.10 |
| 6 | 3.52 | 1.0258 | -78.95 |